DFT (PBE with a Hubbard U) results for a geometry-optimized MnCr2SbO6 structure.

Geometry as extended XYZ:
```
10
Lattice="5.351 0.002 0.001 2.675 4.635 0.000 2.675 1.545 4.612" Properties=species:S:1:pos:R:3 pbc="T T T"
O 5.984 4.505 3.448
O 4.249 4.442 1.075
O 7.071 3.370 1.076
O 6.258 1.836 3.447
O 3.809 2.932 3.447
O 4.731 1.462 1.076
Cr 2.675 1.545 4.390
Cr 5.350 3.091 2.063
Sb 2.675 1.546 0.357
Mn 8.026 4.637 2.756
```

Results
- total energy (eV for the cell shown) = -72.93
- SG = R3 (146)